Material: MgCrGe2O6
Method: DFT, PBE+U
State: optimized geometry

Values from the calculation:
**Crystal system**: monoclinic

Cell: 6.664 6.664 5.330 Å, 95.69 95.69 85.26°
Element x y z (fractional)
Mg 0.230 0.770 0.750
Mg 0.770 0.230 0.250
Cr 0.408 0.592 0.250
Cr 0.592 0.408 0.750
Ge 0.103 0.290 0.777
Ge 0.290 0.103 0.277
Ge 0.710 0.897 0.723
Ge 0.897 0.710 0.223
O 0.066 0.209 0.090
O 0.127 0.646 0.389
O 0.209 0.066 0.590
O 0.285 0.468 0.840
O 0.354 0.873 0.111
O 0.468 0.285 0.340
O 0.532 0.715 0.660
O 0.646 0.127 0.889
O 0.715 0.532 0.160
O 0.791 0.934 0.410
O 0.873 0.354 0.611
O 0.934 0.791 0.910

Material: Mg3Cr2Ge3O12
Method: DFT, PBE+U
State: optimized geometry

Values from the calculation:
**Crystal system**: cubic

Cell: 10.434 10.434 10.434 Å, 109.47 109.47 109.47°
Element x y z (fractional)
Mg 0.125 0.250 0.375
Mg 0.125 0.375 0.750
Mg 0.250 0.375 0.125
Mg 0.250 0.875 0.625
Mg 0.375 0.125 0.250
Mg 0.375 0.750 0.125
Mg 0.625 0.250 0.875
Mg 0.625 0.875 0.750
Mg 0.750 0.125 0.375
Mg 0.750 0.625 0.875
Mg 0.875 0.625 0.250
Mg 0.875 0.750 0.625
Cr 0.000 0.000 0.000
Cr 0.000 0.000 0.500
Cr 0.000 0.500 0.000
Cr 0.000 0.500 0.500
Cr 0.500 0.000 0.000
Cr 0.500 0.000 0.500
Cr 0.500 0.500 0.000
Cr 0.500 0.500 0.500
Ge 0.125 0.750 0.875
Ge 0.125 0.875 0.250
Ge 0.250 0.125 0.875
Ge 0.250 0.625 0.375
Ge 0.375 0.250 0.625
Ge 0.375 0.625 0.750
Ge 0.625 0.375 0.250
Ge 0.625 0.750 0.375
Ge 0.750 0.375 0.625
Ge 0.750 0.875 0.125
Ge 0.875 0.125 0.750
Ge 0.875 0.250 0.125
O 0.028 0.210 0.127
O 0.028 0.318 0.901
O 0.083 0.710 0.682
O 0.083 0.873 0.401
O 0.099 0.627 0.417
O 0.099 0.972 0.682
O 0.127 0.028 0.210
O 0.127 0.599 0.917
O 0.182 0.210 0.583
O 0.182 0.472 0.599
O 0.210 0.127 0.028
O 0.210 0.583 0.182
O 0.290 0.318 0.917
O 0.290 0.472 0.373
O 0.318 0.901 0.028
O 0.318 0.917 0.290
O 0.373 0.290 0.472
O 0.373 0.583 0.901
O 0.401 0.083 0.873
O 0.401 0.818 0.528
O 0.417 0.099 0.627
O 0.417 0.818 0.790
O 0.472 0.373 0.290
O 0.472 0.599 0.182
O 0.528 0.401 0.818
O 0.528 0.627 0.710
O 0.583 0.182 0.210
O 0.583 0.901 0.373
O 0.599 0.182 0.472
O 0.599 0.917 0.127
O 0.627 0.417 0.099
O 0.627 0.710 0.528
O 0.682 0.083 0.710
O 0.682 0.099 0.972
O 0.710 0.528 0.627
O 0.710 0.682 0.083
O 0.790 0.417 0.818
O 0.790 0.873 0.972
O 0.818 0.528 0.401
O 0.818 0.790 0.417
O 0.873 0.401 0.083
O 0.873 0.972 0.790
O 0.901 0.028 0.318
O 0.901 0.373 0.583
O 0.917 0.127 0.599
O 0.917 0.290 0.318
O 0.972 0.682 0.099
O 0.972 0.790 0.873

no.,electronic total energy (eV/cell),DOS at the Fermi energy (states/eV per cell)
1,-133.7,1.296
2,-536.8,0.000